No. 1
This record from the Alexandria database describes a geometry-optimized Ta5CuMo4 structure. The functional is PBE.

Output
- space-group type = No. 123
- total DFT energy (no corrections) (eV/atom) = -10.79
- E_form (eV per atom) = -0.121

Geometry as extended XYZ:
```
10
Lattice="-2.029 2.427 -0.733 -1.574 -1.942 -2.073 -9.648 -4.564 11.601" Properties=species:S:1:pos:R:3 pbc="T T T"
Mo -1.854 -0.877 2.229
Mo -3.840 -1.816 4.617
Mo -5.808 -2.748 6.984
Mo -7.794 -3.687 9.372
Ta -6.625 -2.040 4.398
Ta -10.527 -3.885 9.089
Ta -4.649 -1.105 2.021
Ta -8.602 -2.975 6.774
Ta -2.724 -0.194 -0.294
Cu 0.000 0.000 0.000
```



No. 2
This record from the Alexandria database describes a geometry-optimized Ac8Ge3PdBr4 structure. The functional is PBE.

Output
- space-group type = No. 166
- raw formation energy (eV/atom) = -1.095
- total DFT energy (no corrections) (eV/atom) = -4.76

Geometry as extended XYZ:
```
16
Lattice="-2.750 3.284 -8.154 -8.692 0.052 2.953 6.529 4.406 4.775" Properties=species:S:1:pos:R:3 pbc="T T T"
Ac -4.419 2.602 -5.296
Ac 0.266 3.144 1.177
Ac -1.886 6.802 0.743
Ac -3.027 0.940 -1.170
Ac -5.179 4.598 -1.604
Ac -0.494 5.140 4.870
Ac -3.798 2.911 2.454
Ac -1.115 4.831 -2.880
Ge -2.457 3.871 -0.213
Ge -5.721 1.668 -2.601
Ge -1.082 2.229 3.864
Pd -4.346 0.026 1.476
Br 0.000 0.000 0.000
Br 3.264 2.203 2.387
Br 1.889 3.845 -1.690
Br -1.375 1.642 -4.077
```